{"formula": "Pa2CoGe3", "functional": "PBE-GGA", "state": "optimized geometry", "lattice_angstrom": [[0.000, 4.164, 7.077], [3.958, 0.000, 7.077], [3.958, 4.164, 0.000]], "species": ["Pa", "Pa", "Pa", "Pa", "Co", "Co", "Ge", "Ge", "Ge", "Ge", "Ge", "Ge"], "frac_coords": [[0.243, 0.757, 0.757], [0.250, 0.250, 0.250], [0.750, 0.750, 0.750], [0.757, 0.243, 0.243], [0.157, 0.157, 0.843], [0.843, 0.843, 0.157], [0.162, 0.665, 0.335], [0.321, 0.321, 0.679], [0.335, 0.838, 0.162], [0.665, 0.162, 0.838], [0.679, 0.679, 0.321], [0.838, 0.335, 0.665]], "e_above_lowest_polymorph_ev_per_atom": 0.006, "crystal_system": "orthorhombic", "formation_energy_ev_per_atom": -0.465, "spacegroup": "Fmmm"}

{"formula": "LaCeSmTm", "functional": "PBE-GGA", "state": "optimized geometry", "lattice_angstrom": [[0.000, 4.064, 4.064], [4.064, 0.000, 4.064], [4.064, 4.064, 0.000]], "species": ["La", "Ce", "Sm", "Tm"], "frac_coords": [[0.000, 0.000, 0.000], [0.750, 0.750, 0.750], [0.500, 0.500, 0.500], [0.250, 0.250, 0.250]], "crystal_system": "cubic", "formation_energy_ev_per_atom": 0.199, "spacegroup": "F-43m"}

{"formula": "AcDyN2", "functional": "PBE-GGA", "state": "optimized geometry", "lattice_angstrom": [[1.839, 1.062, 6.091], [-1.839, 1.062, 6.091], [0.000, -2.124, 6.091]], "species": ["Ac", "Dy", "N", "N"], "frac_coords": [[0.000, 0.000, 0.000], [0.500, 0.500, 0.500], [0.242, 0.242, 0.242], [0.758, 0.758, 0.758]], "e_above_lowest_polymorph_ev_per_atom": 0.000, "crystal_system": "trigonal", "spacegroup": "R-3m", "e_form_raw_mev_per_atom": -1286}

{"formula": "KBa2InAu", "functional": "PBE-GGA", "state": "optimized geometry", "lattice_angstrom": [[6.497, 0.000, 0.000], [0.000, 6.497, 0.000], [0.000, 0.000, 5.447]], "species": ["K", "Ba", "Ba", "In", "Au"], "frac_coords": [[0.000, 0.000, 0.000], [0.000, 0.500, 0.500], [0.500, 0.000, 0.500], [0.500, 0.500, 0.000], [0.500, 0.500, 0.500]], "crystal_system": "tetragonal", "formation_energy_ev_per_atom": -0.252, "spacegroup": "P4/mmm"}

{"formula": "RbMg2Cd2Sn2", "functional": "PBE-GGA", "state": "optimized geometry", "lattice_angstrom": [[4.316, -2.495, 0.000], [4.316, 2.495, 0.000], [-2.902, 0.000, 9.772]], "species": ["Rb", "Mg", "Mg", "Cd", "Cd", "Sn", "Sn"], "frac_coords": [[0.000, 0.000, 0.000], [0.141, 0.141, 0.423], [0.859, 0.859, 0.577], [0.445, 0.445, 0.335], [0.555, 0.555, 0.665], [0.245, 0.245, 0.734], [0.755, 0.755, 0.266]], "crystal_system": "monoclinic", "formation_energy_ev_per_atom": -0.161, "spacegroup": "C2/m"}

{"formula": "Ac2Pm5SmHo", "functional": "PBE-GGA", "state": "optimized geometry", "lattice_angstrom": [[2.921, -10.276, 0.000], [2.921, 10.276, 0.000], [0.000, 0.000, 10.965]], "species": ["Ac", "Ac", "Ac", "Ac", "Pm", "Pm", "Pm", "Pm", "Pm", "Pm", "Pm", "Pm", "Pm", "Pm", "Sm", "Sm", "Ho", "Ho"], "frac_coords": [[0.113, 0.887, 0.500], [0.117, 0.883, 0.086], [0.883, 0.117, 0.586], [0.887, 0.113, 0.000], [0.019, 0.981, 0.790], [0.282, 0.718, 0.078], [0.295, 0.705, 0.470], [0.388, 0.612, 0.788], [0.482, 0.518, 0.509], [0.518, 0.482, 0.009], [0.612, 0.388, 0.288], [0.705, 0.295, 0.970], [0.718, 0.282, 0.578], [0.981, 0.019, 0.290], [0.410, 0.590, 0.233], [0.590, 0.410, 0.733], [0.206, 0.794, 0.777], [0.794, 0.206, 0.277]], "crystal_system": "orthorhombic", "formation_energy_ev_per_atom": 0.138, "spacegroup": "Cmc2_1"}

{"formula": "Hf2BeSi", "functional": "PBE-GGA", "state": "optimized geometry", "lattice_angstrom": [[1.838, 1.061, 6.143], [-1.838, 1.061, 6.143], [0.000, -2.122, 6.143]], "species": ["Hf", "Hf", "Be", "Si"], "frac_coords": [[0.249, 0.249, 0.249], [0.751, 0.751, 0.751], [0.500, 0.500, 0.500], [0.000, 0.000, 0.000]], "e_above_lowest_polymorph_ev_per_atom": 0.497, "crystal_system": "trigonal", "spacegroup": "R-3m", "e_form_raw_mev_per_atom": -120}

{"formula": "Hf2IO2", "functional": "PBE-GGA", "state": "optimized geometry", "lattice_angstrom": [[-2.008, 2.008, 5.022], [2.008, -2.008, 5.022], [2.008, 2.008, -5.022]], "species": ["Hf", "Hf", "I", "O", "O"], "frac_coords": [[0.158, 0.158, 0.000], [0.842, 0.842, 0.000], [0.500, 0.500, 0.000], [0.250, 0.750, 0.500], [0.750, 0.250, 0.500]], "crystal_system": "tetragonal", "spacegroup": "I4/mmm", "e_form_raw_mev_per_atom": -1886}

{"formula": "UGeSe4", "functional": "PBE-GGA", "state": "optimized geometry", "lattice_angstrom": [[6.540, 0.000, 0.000], [0.000, 4.100, 0.000], [-0.103, 0.000, 6.942]], "species": ["U", "Ge", "Se", "Se", "Se", "Se"], "frac_coords": [[0.000, 0.000, 0.000], [0.000, 0.500, 0.500], [0.222, 0.000, 0.318], [0.226, 0.500, 0.847], [0.774, 0.500, 0.153], [0.778, 0.000, 0.682]], "crystal_system": "monoclinic", "spacegroup": "P2/m", "e_form_raw_mev_per_atom": -658}

{"formula": "Tb2SmU2Ru5", "functional": "PBE-GGA", "state": "optimized geometry", "lattice_angstrom": [[10.613, 0.000, 0.000], [0.000, 10.613, 0.000], [0.000, 0.000, 3.659]], "species": ["Tb", "Tb", "Tb", "Tb", "Sm", "Sm", "U", "U", "U", "U", "Ru", "Ru", "Ru", "Ru", "Ru", "Ru", "Ru", "Ru", "Ru", "Ru"], "frac_coords": [[0.175, 0.325, 0.000], [0.325, 0.825, 0.000], [0.675, 0.175, 0.000], [0.825, 0.675, 0.000], [0.000, 0.000, 0.000], [0.500, 0.500, 0.000], [0.133, 0.633, 0.000], [0.367, 0.133, 0.000], [0.633, 0.867, 0.000], [0.867, 0.367, 0.000], [0.000, 0.500, 0.500], [0.055, 0.784, 0.500], [0.216, 0.055, 0.500], [0.284, 0.555, 0.500], [0.445, 0.284, 0.500], [0.500, 0.000, 0.500], [0.555, 0.716, 0.500], [0.716, 0.445, 0.500], [0.784, 0.945, 0.500], [0.945, 0.216, 0.500]], "crystal_system": "tetragonal", "formation_energy_ev_per_atom": -0.256, "spacegroup": "P4/mbm"}

{"formula": "TaAlMo2", "functional": "PBE-GGA", "state": "optimized geometry", "lattice_angstrom": [[1.631, -2.261, 0.000], [1.631, 2.261, 0.000], [0.000, 0.000, 8.833]], "species": ["Ta", "Al", "Mo", "Mo"], "frac_coords": [[0.000, 0.000, 0.000], [0.500, 0.500, 0.257], [0.000, 0.000, 0.498], [0.500, 0.500, 0.744]], "crystal_system": "orthorhombic", "formation_energy_ev_per_atom": -0.104, "spacegroup": "Cmm2"}

{"formula": "AlSi2Au", "functional": "PBE-GGA", "state": "optimized geometry", "lattice_angstrom": [[2.601, -3.603, 0.000], [2.601, 3.603, 0.000], [0.000, 0.000, 3.582]], "species": ["Al", "Si", "Si", "Au"], "frac_coords": [[0.000, 0.000, 0.000], [0.000, 0.500, 0.500], [0.500, 0.000, 0.500], [0.500, 0.500, 0.000]], "crystal_system": "orthorhombic", "spacegroup": "Cmmm", "e_form_raw_mev_per_atom": 229}

{"formula": "Cs2TmTlI6", "functional": "PBE-GGA", "state": "optimized geometry", "lattice_angstrom": [[8.716, 0.000, 0.000], [0.000, 12.769, 0.000], [0.000, 0.000, 9.507]], "species": ["Cs", "Cs", "Cs", "Cs", "Tm", "Tm", "Tl", "Tl", "I", "I", "I", "I", "I", "I", "I", "I", "I", "I", "I", "I"], "frac_coords": [[0.250, 0.029, 0.201], [0.250, 0.471, 0.201], [0.750, 0.529, 0.799], [0.750, 0.971, 0.799], [0.250, 0.750, 0.781], [0.750, 0.250, 0.219], [0.250, 0.250, 0.713], [0.750, 0.750, 0.287], [0.001, 0.750, 0.566], [0.011, 0.750, 0.011], [0.250, 0.515, 0.784], [0.250, 0.985, 0.784], [0.489, 0.750, 0.011], [0.499, 0.750, 0.566], [0.501, 0.250, 0.434], [0.511, 0.250, 0.989], [0.750, 0.015, 0.216], [0.750, 0.485, 0.216], [0.989, 0.250, 0.989], [0.999, 0.250, 0.434]], "crystal_system": "orthorhombic", "spacegroup": "Pmmn", "e_form_raw_mev_per_atom": -1310}

{"formula": "CeHfMg6O8", "functional": "PBE-GGA", "state": "optimized geometry", "lattice_angstrom": [[4.559, 0.000, 0.000], [0.000, 4.559, 0.000], [0.000, 0.000, 9.154]], "species": ["Ce", "Hf", "Mg", "Mg", "Mg", "Mg", "Mg", "Mg", "O", "O", "O", "O", "O", "O", "O", "O"], "frac_coords": [[0.000, 0.000, 0.000], [0.000, 0.000, 0.500], [0.000, 0.500, 0.262], [0.000, 0.500, 0.738], [0.500, 0.000, 0.262], [0.500, 0.000, 0.738], [0.500, 0.500, 0.000], [0.500, 0.500, 0.500], [0.000, 0.000, 0.264], [0.000, 0.000, 0.736], [0.000, 0.500, 0.000], [0.000, 0.500, 0.500], [0.500, 0.000, 0.000], [0.500, 0.000, 0.500], [0.500, 0.500, 0.256], [0.500, 0.500, 0.744]], "e_above_lowest_polymorph_ev_per_atom": 0.127, "crystal_system": "tetragonal", "spacegroup": "P4/mmm", "e_form_raw_mev_per_atom": -2280}

{"formula": "Hf2CrSb", "functional": "PBE-GGA", "state": "optimized geometry", "lattice_angstrom": [[1.566, 0.904, 10.301], [-1.566, 0.904, 10.301], [0.000, -1.809, 10.301]], "species": ["Hf", "Hf", "Cr", "Sb"], "frac_coords": [[0.085, 0.085, 0.085], [0.915, 0.915, 0.915], [0.000, 0.000, 0.000], [0.500, 0.500, 0.500]], "crystal_system": "trigonal", "spacegroup": "R-3m", "e_form_raw_mev_per_atom": 559}

{"formula": "PaPdPtAu", "functional": "PBE-GGA", "state": "optimized geometry", "lattice_angstrom": [[0.000, 3.381, 3.381], [3.381, 0.000, 3.381], [3.381, 3.381, 0.000]], "species": ["Pa", "Pd", "Pt", "Au"], "frac_coords": [[0.000, 0.000, 0.000], [0.750, 0.750, 0.750], [0.250, 0.250, 0.250], [0.500, 0.500, 0.500]], "crystal_system": "cubic", "formation_energy_ev_per_atom": -0.663, "spacegroup": "F-43m"}

{"formula": "Ac5CoCu", "functional": "PBE-GGA", "state": "optimized geometry", "lattice_angstrom": [[6.247, -4.327, 0.000], [6.247, 4.327, 0.000], [-3.397, 0.000, 9.774]], "species": ["Ac", "Ac", "Ac", "Ac", "Ac", "Ac", "Ac", "Ac", "Ac", "Ac", "Co", "Co", "Cu", "Cu"], "frac_coords": [[0.088, 0.220, 0.006], [0.220, 0.088, 0.506], [0.247, 0.753, 0.750], [0.248, 0.550, 0.346], [0.450, 0.752, 0.154], [0.550, 0.248, 0.846], [0.752, 0.450, 0.654], [0.753, 0.247, 0.250], [0.780, 0.912, 0.494], [0.912, 0.780, 0.994], [0.078, 0.922, 0.250], [0.922, 0.078, 0.750], [0.000, 0.500, 0.500], [0.500, 0.000, 0.000]], "crystal_system": "monoclinic", "formation_energy_ev_per_atom": 0.128, "spacegroup": "C2/c"}

{"formula": "Rb2Ho2PaS6", "functional": "PBE-GGA", "state": "optimized geometry", "lattice_angstrom": [[3.490, -6.039, 0.000], [3.490, 6.039, 0.000], [-2.359, 0.000, 7.876]], "species": ["Rb", "Rb", "Ho", "Ho", "Pa", "S", "S", "S", "S", "S", "S"], "frac_coords": [[0.168, 0.832, 0.000], [0.832, 0.168, 0.000], [0.334, 0.666, 0.500], [0.666, 0.334, 0.500], [0.000, 0.000, 0.500], [0.061, 0.394, 0.686], [0.267, 0.267, 0.314], [0.394, 0.061, 0.686], [0.606, 0.939, 0.314], [0.733, 0.733, 0.686], [0.939, 0.606, 0.314]], "crystal_system": "monoclinic", "spacegroup": "C2/m", "e_form_raw_mev_per_atom": -1810}

{"formula": "K2NaTh", "functional": "PBE-GGA", "state": "optimized geometry", "lattice_angstrom": [[1.817, 1.049, 14.821], [-1.817, 1.049, 14.821], [0.000, -2.098, 14.821]], "species": ["K", "K", "Na", "Th"], "frac_coords": [[0.086, 0.086, 0.086], [0.914, 0.914, 0.914], [0.500, 0.500, 0.500], [0.000, 0.000, 0.000]], "crystal_system": "trigonal", "formation_energy_ev_per_atom": 0.430, "spacegroup": "R-3m"}

{"formula": "Zr6CdIn3", "functional": "PBE-GGA", "state": "optimized geometry", "lattice_angstrom": [[4.486, -7.735, 0.000], [4.486, 7.735, 0.000], [0.000, 0.000, 6.906]], "species": ["Zr", "Zr", "Zr", "Zr", "Zr", "Zr", "Zr", "Zr", "Zr", "Zr", "Zr", "Zr", "Cd", "Cd", "In", "In", "In", "In", "In", "In"], "frac_coords": [[0.033, 0.578, 0.485], [0.041, 0.959, 0.500], [0.238, 0.387, 0.739], [0.265, 0.735, 0.816], [0.387, 0.238, 0.239], [0.422, 0.967, 0.485], [0.578, 0.033, 0.985], [0.613, 0.762, 0.739], [0.735, 0.265, 0.316], [0.762, 0.613, 0.239], [0.959, 0.041, 0.000], [0.967, 0.422, 0.985], [0.159, 0.841, 0.166], [0.841, 0.159, 0.666], [0.094, 0.296, 0.328], [0.296, 0.094, 0.828], [0.400, 0.600, 0.136], [0.600, 0.400, 0.636], [0.704, 0.906, 0.328], [0.906, 0.704, 0.828]], "e_above_lowest_polymorph_ev_per_atom": 0.191, "crystal_system": "orthorhombic", "formation_energy_ev_per_atom": -0.006, "spacegroup": "Cmc2_1"}

| no. | density of states at the Fermi level (states/eV/atom) | total DFT energy (no corrections) (eV/atom) |
| --- | --- | --- |
| 1 | 1.1702 | -7.1237 |
| 2 | 2.6404 | -4.8142 |
| 3 | 0.0566 | -7.6264 |
| 4 | 1.0230 | -2.4436 |
| 5 | 0.2124 | -2.1600 |
| 6 | 1.3667 | -4.4468 |
| 7 | 0.4935 | -7.3837 |
| 8 | 0.6505 | -8.1609 |
| 9 | 0.1735 | -5.6318 |
| 10 | 0.7038 | -8.5499 |
| 11 | 0.5966 | -9.4183 |
| 12 | 0.3649 | -4.2380 |
| 13 | 0.0000 | -3.0946 |
| 14 | 0.4388 | -6.3497 |
| 15 | 0.9767 | -7.8544 |
| 16 | 0.9808 | -6.6643 |
| 17 | 1.3129 | -4.4073 |
| 18 | 0.1792 | -5.9326 |
| 19 | 1.0981 | -2.3030 |
| 20 | 0.8972 | -6.0476 |